LaTlPt2 | GGA-PBEsol | optimized geometry

Crystal system: tetragonal
Formation enthalpy at 0 K in eV per atom: -0.527

Cell and atoms, written as CIF:
```
data_LaTlPt2
_chemical_formula_sum 'La2 Tl2 Pt4'
_symmetry_space_group_name_H-M 'I -4 m 2'
_symmetry_Int_Tables_number 119
_symmetry_space_group_name_Hall 'I -4 -2'
_cell_length_a 4.270
_cell_length_b 4.270
_cell_length_c 9.154
_cell_angle_alpha 90.00
_cell_angle_beta 90.00
_cell_angle_gamma 90.00
loop_
_atom_site_label
_atom_site_type_symbol
_atom_site_fract_x
_atom_site_fract_y
_atom_site_fract_z
_atom_site_occupancy
La1 La 0.000 0.000 0.000 1
Tl1 Tl 0.000 0.500 0.750 1
Pt1 Pt 0.000 0.000 0.500 1
Pt2 Pt 0.000 0.500 0.250 1
```

---

SrCa3 | GGA-PBEsol | optimized geometry

Crystal system: orthorhombic
Formation enthalpy at 0 K in eV per atom: 0.017
Energy above the most stable polymorph in this dataset in eV per atom: 0.0067

Cell and atoms, written as CIF:
```
data_SrCa3
_chemical_formula_sum 'Sr2 Ca6'
_symmetry_space_group_name_H-M 'I m m 2'
_symmetry_Int_Tables_number 44
_symmetry_space_group_name_Hall 'I 2 -2'
_cell_length_a 3.927
_cell_length_b 12.983
_cell_length_c 6.803
_cell_angle_alpha 90.00
_cell_angle_beta 90.00
_cell_angle_gamma 90.00
loop_
_atom_site_label
_atom_site_type_symbol
_atom_site_fract_x
_atom_site_fract_y
_atom_site_fract_z
_atom_site_occupancy
Sr1 Sr 0.000 0.000 0.000 1
Ca1 Ca 0.000 0.247 0.665 1
Ca2 Ca 0.000 0.500 0.999 1
```

---

YMnPS2 | GGA-PBEsol | optimized geometry

Crystal system: tetragonal
Formation energy without anion corrections in eV/atom: 0.300

Cell and atoms, written as CIF:
```
data_YMnPS2
_chemical_formula_sum 'Y1 Mn1 P1 S2'
_symmetry_space_group_name_H-M 'P 4/m m m'
_symmetry_Int_Tables_number 123
_symmetry_space_group_name_Hall '-P 4 2'
_cell_length_a 5.074
_cell_length_b 5.074
_cell_length_c 5.187
_cell_angle_alpha 90.00
_cell_angle_beta 90.00
_cell_angle_gamma 90.00
loop_
_atom_site_label
_atom_site_type_symbol
_atom_site_fract_x
_atom_site_fract_y
_atom_site_fract_z
_atom_site_occupancy
Y1 Y 0.000 0.000 0.000 1
Mn1 Mn 0.500 0.500 0.500 1
P1 P 0.000 0.000 0.500 1
S1 S 0.000 0.500 0.000 1
```